Record 1
First-principles (PBE) data for a geometry-optimized Na3NdSb2Te6 structure, as listed in Alexandria.

Computed properties:
Uncorrected formation energy (eV/atom): -0.74
M_tot (Bohr magnetons per cell): 0.00
Density (g/cm³): 5.13

Cell: 7.775 7.775 7.999 Å, 99.31 99.31 120.04°
Positions (direct):
Sb: 0.667 0.333 0.000
Sb: 0.333 0.667 0.000
Te: 0.264 0.264 0.766
Te: 0.736 0.736 0.234
Te: 0.923 0.580 0.768
Te: 0.077 0.420 0.232
Te: 0.580 0.923 0.768
Te: 0.420 0.077 0.232
Na: 0.500 0.500 0.500
Na: 0.832 0.168 0.500
Na: 0.168 0.832 0.500
Nd: 0.000 0.000 0.000

---

Record 2
First-principles (PBE) data for a geometry-optimized Na3Nd2SbTe6 structure, as listed in Alexandria.

Computed properties:
Uncorrected formation energy (eV/atom): -1.03
M_tot (Bohr magnetons per cell): 0.00
Density (g/cm³): 5.14

Cell: 7.845 7.845 7.985 Å, 99.42 99.42 119.99°
Positions (direct):
Te: 0.246 0.246 0.766
Te: 0.079 0.403 0.236
Te: 0.921 0.597 0.764
Te: 0.597 0.921 0.764
Te: 0.754 0.754 0.234
Te: 0.403 0.079 0.236
Na: 0.165 0.835 0.500
Na: 0.500 0.500 0.500
Na: 0.835 0.165 0.500
Nd: 0.333 0.667 0.000
Nd: 0.667 0.333 0.000
Sb: 0.000 0.000 0.000

---

Record 3
First-principles (PBE) data for a geometry-optimized Na3NdSc2Se6 structure, as listed in Alexandria.

Computed properties:
Uncorrected formation energy (eV/atom): -1.60
M_tot (Bohr magnetons per cell): 0.00
Density (g/cm³): 4.31

Cell: 7.035 7.035 7.377 Å, 99.21 99.21 120.05°
Positions (direct):
Se: 0.075 0.429 0.224
Se: 0.571 0.925 0.776
Se: 0.429 0.075 0.224
Se: 0.721 0.721 0.224
Se: 0.925 0.571 0.776
Se: 0.279 0.279 0.776
Sc: 0.668 0.332 0.000
Sc: 0.332 0.668 0.000
Na: 0.162 0.838 0.500
Na: 0.838 0.162 0.500
Na: 0.500 0.500 0.500
Nd: 0.000 0.000 0.000

---

Record 4
First-principles (PBE) data for a geometry-optimized Na2NdScSe4 structure, as listed in Alexandria.

Computed properties:
Uncorrected formation energy (eV/atom): -1.61
M_tot (Bohr magnetons per cell): 0.00
Density (g/cm³): 4.44

Cell: 4.121 7.139 7.393 Å, 108.78 90.00 90.00°
Positions (direct):
Nd: 0.500 0.500 0.000
Se: 0.000 0.762 0.231
Se: 0.000 0.238 0.769
Se: 0.500 0.776 0.778
Se: 0.500 0.224 0.222
Na: 0.000 0.500 0.500
Na: 0.500 0.000 0.500
Sc: 0.000 0.000 0.000

---

Record 5
First-principles (PBE) data for a geometry-optimized NaNd2Sc3Se6 structure, as listed in Alexandria.

Computed properties:
Uncorrected formation energy (eV/atom): -1.67
M_tot (Bohr magnetons per cell): 0.00
Density (g/cm³): 5.45

Cell: 3.993 8.190 9.093 Å, 104.36 102.68 90.00°
Positions (direct):
Nd: 0.169 0.339 0.337
Nd: 0.831 0.661 0.663
Sc: 0.167 0.824 0.334
Sc: 0.500 0.500 0.000
Sc: 0.833 0.176 0.666
Se: 0.341 0.403 0.682
Se: 0.006 0.738 0.011
Se: 0.659 0.597 0.318
Se: 0.671 0.065 0.342
Se: 0.329 0.935 0.658
Se: 0.994 0.262 0.989
Na: 0.500 0.000 0.000

---

Record 6
First-principles (PBE) data for a geometry-optimized NaNd2ScSe4 structure, as listed in Alexandria.

Computed properties:
Uncorrected formation energy (eV/atom): -1.68
M_tot (Bohr magnetons per cell): 0.00
Density (g/cm³): 5.61

Cell: 4.116 7.204 7.099 Å, 109.16 90.00 90.00°
Positions (direct):
Nd: 0.500 0.000 0.500
Nd: 0.000 0.500 0.500
Se: 0.500 0.764 0.772
Se: 0.500 0.236 0.228
Se: 0.000 0.755 0.236
Se: 0.000 0.245 0.764
Sc: 0.000 0.000 0.000
Na: 0.500 0.500 0.000

---

Record 7
First-principles (PBE) data for a geometry-optimized NaNdSc2Se4 structure, as listed in Alexandria.

Computed properties:
Uncorrected formation energy (eV/atom): -1.65
M_tot (Bohr magnetons per cell): 0.00
Density (g/cm³): 5.11

Cell: 3.981 6.949 7.102 Å, 108.60 90.00 90.00°
Positions (direct):
Se: 0.000 0.763 0.274
Se: 0.500 0.256 0.274
Se: 0.500 0.744 0.726
Se: 0.000 0.237 0.726
Nd: 0.500 0.500 0.000
Sc: 0.000 0.500 0.500
Sc: 0.500 0.000 0.500
Na: 0.000 0.000 0.000

---

Record 8
First-principles (PBE) data for a geometry-optimized Na3NdSc2Te6 structure, as listed in Alexandria.

Computed properties:
Uncorrected formation energy (eV/atom): -1.23
M_tot (Bohr magnetons per cell): 0.00
Density (g/cm³): 4.79

Cell: 7.534 7.534 7.954 Å, 99.15 99.15 120.04°
Positions (direct):
Na: 0.500 0.500 0.500
Na: 0.160 0.840 0.500
Na: 0.840 0.160 0.500
Sc: 0.332 0.668 0.000
Sc: 0.668 0.332 0.000
Te: 0.924 0.571 0.774
Te: 0.571 0.924 0.774
Te: 0.076 0.429 0.226
Te: 0.429 0.076 0.226
Te: 0.278 0.278 0.775
Te: 0.722 0.722 0.225
Nd: 0.000 0.000 0.000

---

Record 9
First-principles (PBE) data for a geometry-optimized NaNd2ScTe4 structure, as listed in Alexandria.

Computed properties:
Uncorrected formation energy (eV/atom): -1.28
M_tot (Bohr magnetons per cell): 0.00
Density (g/cm³): 5.93

Cell: 4.387 7.614 7.684 Å, 70.99 90.00 90.00°
Positions (direct):
Sc: 0.000 0.500 0.500
Te: 0.000 0.263 0.254
Te: 0.500 0.730 0.263
Te: 0.500 0.270 0.737
Te: 0.000 0.737 0.746
Nd: 0.000 0.000 0.000
Nd: 0.500 0.000 0.500
Na: 0.500 0.500 0.000

---

Record 10
First-principles (PBE) data for a geometry-optimized NaNd3Sc2Te6 structure, as listed in Alexandria.

Computed properties:
Uncorrected formation energy (eV/atom): -1.28
M_tot (Bohr magnetons per cell): 0.00
Density (g/cm³): 6.09

Cell: 4.362 8.803 9.814 Å, 102.99 102.84 90.00°
Positions (direct):
Te: 0.327 0.428 0.655
Te: 0.673 0.572 0.345
Te: 0.669 0.101 0.338
Te: 0.991 0.753 0.981
Te: 0.009 0.247 0.019
Te: 0.331 0.899 0.662
Nd: 0.841 0.176 0.682
Nd: 0.159 0.824 0.318
Nd: 0.500 0.500 0.000
Sc: 0.165 0.342 0.330
Sc: 0.835 0.658 0.670
Na: 0.500 0.000 0.000

---

Record 11
First-principles (PBE) data for a geometry-optimized Na3Nd2ScTe6 structure, as listed in Alexandria.

Computed properties:
Uncorrected formation energy (eV/atom): -1.27
M_tot (Bohr magnetons per cell): 0.00
Density (g/cm³): 4.98

Cell: 7.716 7.716 7.985 Å, 99.32 99.32 120.04°
Positions (direct):
Na: 0.828 0.172 0.500
Na: 0.172 0.828 0.500
Na: 0.500 0.500 0.500
Te: 0.236 0.236 0.768
Te: 0.077 0.393 0.233
Te: 0.393 0.077 0.233
Te: 0.607 0.923 0.767
Te: 0.923 0.607 0.767
Te: 0.764 0.764 0.232
Nd: 0.334 0.666 0.000
Nd: 0.666 0.334 0.000
Sc: 0.000 0.000 0.000

---

Record 12
First-principles (PBE) data for a geometry-optimized NaNdSc2Te4 structure, as listed in Alexandria.

Computed properties:
Uncorrected formation energy (eV/atom): -1.23
M_tot (Bohr magnetons per cell): 0.00
Density (g/cm³): 5.55

Cell: 4.268 7.467 7.605 Å, 108.58 90.00 90.00°
Positions (direct):
Te: 0.000 0.239 0.728
Te: 0.500 0.744 0.728
Te: 0.000 0.761 0.272
Te: 0.500 0.256 0.272
Sc: 0.500 0.000 0.500
Sc: 0.000 0.500 0.500
Na: 0.000 0.000 0.000
Nd: 0.500 0.500 0.000